Record 1
This record from the Alexandria database describes Ac8Pd2Rh3 after structural relaxation. The functional is PBE.

Symmetry   No. 12
Energy of formation from the pure elements   -13.4 kcal/mol of atoms

abc: 7.3423 8.4869 8.9657
angles: 118.25 105.69 90.00
Fractional positions:
Ac 0.4045 0.8755 0.2339
Rh 0.0000 0.7440 0.0000
Rh 0.0000 0.2560 0.0000
Pd 0.6651 0.7446 0.4891
Ac 0.5955 0.6417 0.7661
Ac 0.0855 0.8882 0.7764
Ac 0.5955 0.1245 0.7661
Rh 0.5000 0.0000 0.0000
Ac 0.8993 0.6091 0.2183
Ac 0.4045 0.3583 0.2339
Ac 0.9145 0.1118 0.2236
Ac 0.1007 0.3909 0.7817
Pd 0.3349 0.2554 0.5109

***

Record 2
This record from the Alexandria database describes AcPdRh4 after structural relaxation. The functional is PBE.

Symmetry   No. 216
Energy of formation from the pure elements   -3.4 kcal/mol of atoms

abc: 5.3601 5.3601 5.3601
angles: 60.00 60.00 60.00
Site moments in Bohr magnetons follow the coordinates.
Fractional positions:
Pd 0.0000 0.0000 0.0000  0.04
Rh 0.6260 0.1220 0.6260  0.10
Rh 0.6260 0.6260 0.1220  0.10
Rh 0.6260 0.6260 0.6260  0.10
Ac 0.2500 0.2500 0.2500  -0.01
Rh 0.1220 0.6260 0.6260  0.10

***

Record 3
This record from the Alexandria database describes Ac2PdRh2 after structural relaxation. The functional is PBE.

Symmetry   No. 71
Energy of formation from the pure elements   -15.3 kcal/mol of atoms

abc: 4.6302 5.7165 5.7165
angles: 62.49 66.11 66.11
Fractional positions:
Rh 0.5000 0.7405 0.2595
Ac 0.2049 0.2951 0.2951
Rh 0.5000 0.2595 0.7405
Ac 0.7951 0.7049 0.7049
Pd 0.0000 0.0000 0.0000

***

Record 4
This record from the Alexandria database describes Ac6Pd2RuRh after structural relaxation. The functional is PBE.

Symmetry   No. 146
Energy of formation from the pure elements   -11.7 kcal/mol of atoms

abc: 7.5366 7.5372 8.2348
angles: 62.73 62.73 59.99
Fractional positions:
Rh 0.8305 0.8302 0.5089
Ac 0.5822 0.2349 0.2512
Ac 0.9318 0.5821 0.2514
Ru 0.3293 0.3297 0.0115
Ac 0.0855 0.4286 0.7565
Ac 0.7298 0.0856 0.7561
Ac 0.4285 0.7298 0.7560
Pd 0.0048 0.0047 0.9858
Pd 0.5043 0.5044 0.4868
Ac 0.2349 0.9317 0.2511

***

Record 5
This record from the Alexandria database describes Ac6PdRu2Rh after structural relaxation. The functional is PBE.

Symmetry   No. 1
Energy of formation from the pure elements   -8.9 kcal/mol of atoms

abc: 7.4637 7.4640 8.0663
angles: 62.45 62.46 60.06
Fractional positions:
Ac 0.7531 0.0913 0.7537
Ru 0.9933 0.9935 0.0199
Ac 0.2614 0.9121 0.2462
Pd 0.8360 0.8358 0.4924
Ac 0.4018 0.7535 0.7536
Ru 0.4962 0.4960 0.5120
Ac 0.5807 0.2609 0.2463
Rh 0.3361 0.3363 0.9912
Ac 0.0907 0.4021 0.7536
Ac 0.9124 0.5801 0.2463

***

Record 6
This record from the Alexandria database describes Ac6PdRuRh2 after structural relaxation. The functional is PBE.

Symmetry   No. 1
Energy of formation from the pure elements   -11.8 kcal/mol of atoms

abc: 7.4801 7.4804 8.1229
angles: 62.58 62.55 59.88
Fractional positions:
Pd 0.8348 0.8355 0.4940
Ac 0.9196 0.5771 0.2447
Ac 0.0909 0.4061 0.7570
Ac 0.7467 0.0893 0.7577
Ac 0.2581 0.9204 0.2454
Ac 0.5755 0.2596 0.2447
Ru 0.3357 0.3353 0.9934
Rh 0.9953 0.9954 0.0146
Ac 0.4068 0.7452 0.7577
Rh 0.4982 0.4978 0.5060

***

Record 7
This record from the Alexandria database describes AcPd2Rh3S8 after structural relaxation. The functional is PBE.

Symmetry   No. 160
Raw formation energy   -0.5509 eV per atom

abc: 7.3391 7.3391 7.4648
angles: 60.56 60.56 60.00
Fractional positions:
Rh 0.4982 0.4982 0.9976
S 0.2614 0.7057 0.7715
Pd 0.4966 0.4966 0.5102
S 0.2668 0.2668 0.1996
Ac 0.8720 0.8720 0.3840
Rh 0.0060 0.4982 0.9976
S 0.3246 0.7292 0.2170
S 0.7292 0.3246 0.2170
S 0.7057 0.2614 0.7715
S 0.2614 0.2614 0.7715
S 0.7292 0.7292 0.2170
S 0.7243 0.7243 0.8271
Rh 0.4982 0.0060 0.9976
Pd 0.1190 0.1190 0.6430

***

Record 8
This record from the Alexandria database describes Ac4PdRhS2 after structural relaxation. The functional is PBE.

Symmetry   No. 10
Raw formation energy   -1.3162 eV per atom

abc: 4.2762 7.9995 7.3861
angles: 71.97 90.00 90.00
Fractional positions:
Ac 0.0000 0.7385 0.7481
Ac 0.5000 0.2634 0.7399
Pd 0.5000 0.5000 0.0000
Rh 0.0000 0.5000 0.5000
S 0.0000 0.0000 0.0000
Ac 0.5000 0.7366 0.2601
Ac 0.0000 0.2615 0.2519
S 0.5000 0.0000 0.5000

***

Record 9
This record from the Alexandria database describes Ac6PdRh2S3 after structural relaxation. The functional is PBE.

Symmetry   No. 12
Raw formation energy   -1.3154 eV per atom

abc: 7.3984 7.3984 7.9668
angles: 98.92 98.92 120.03
Fractional positions:
S 0.5000 0.5000 0.5000
Rh 0.3336 0.6664 0.0000
S 0.1662 0.8338 0.5000
Rh 0.6664 0.3336 0.0000
Pd 0.0000 0.0000 0.0000
S 0.8338 0.1662 0.5000
Ac 0.4208 0.0785 0.2356
Ac 0.0785 0.4208 0.2356
Ac 0.2632 0.2632 0.7628
Ac 0.9215 0.5792 0.7644
Ac 0.5792 0.9215 0.7644
Ac 0.7368 0.7368 0.2372

***

Record 10
This record from the Alexandria database describes AcSb2PdRh2 after structural relaxation. The functional is PBE.

Symmetry   No. 123
Raw formation energy   -0.1901 eV per atom

abc: 5.0361 5.0361 5.7161
angles: 90.00 90.00 90.00
Fractional positions:
Ac 0.0000 0.0000 0.5000
Rh 0.5000 0.5000 0.2574
Sb 0.5000 0.0000 0.0000
Sb 0.0000 0.5000 0.0000
Pd 0.0000 0.0000 0.0000
Rh 0.5000 0.5000 0.7426

***

Record 11
This record from the Alexandria database describes AcScPdRh after structural relaxation. The functional is PBE.

Symmetry   No. 216
Energy of formation from the pure elements   -14.2 kcal/mol of atoms

abc: 5.0029 5.0029 5.0029
angles: 60.00 60.00 60.00
Fractional positions:
Sc 0.7500 0.7500 0.7500
Ac 0.2500 0.2500 0.2500
Pd 0.0000 0.0000 0.0000
Rh 0.5000 0.5000 0.5000

***

Record 12
This record from the Alexandria database describes Ac6PdRh2Se3 after structural relaxation. The functional is PBE.

Symmetry   No. 12
Raw formation energy   -1.2811 eV per atom

abc: 7.5100 7.5100 8.1319
angles: 98.87 98.87 120.01
Fractional positions:
Se 0.1654 0.8346 0.5000
Pd 0.0000 0.0000 0.0000
Ac 0.5819 0.9246 0.7735
Ac 0.0754 0.4181 0.2265
Se 0.8346 0.1654 0.5000
Ac 0.2670 0.2670 0.7731
Rh 0.3334 0.6666 0.0000
Rh 0.6666 0.3334 0.0000
Ac 0.9246 0.5819 0.7735
Ac 0.7330 0.7330 0.2269
Ac 0.4181 0.0754 0.2265
Se 0.5000 0.5000 0.5000

***

Record 13
This record from the Alexandria database describes AcSi3PdRh after structural relaxation. The functional is PBE.

Symmetry   No. 63
Raw formation energy   -0.5449 eV per atom

abc: 6.0695 6.3781 7.2012
angles: 116.29 90.00 90.00
Fractional positions:
Pd 0.2500 0.4506 0.9012
Si 0.5000 0.2082 0.0000
Si 0.0000 0.2082 0.0000
Si 0.7500 0.7270 0.4540
Rh 0.7500 0.9006 0.8013
Ac 0.2500 0.7302 0.4604
Si 0.5000 0.7918 0.0000
Si 0.2500 0.2730 0.5460
Rh 0.2500 0.0994 0.1987
Ac 0.7500 0.2698 0.5396
Pd 0.7500 0.5494 0.0988
Si 0.0000 0.7918 0.0000

***

Record 14
This record from the Alexandria database describes Ac2Si4PdRh3 after structural relaxation. The functional is PBE.

Symmetry   No. 115
Raw formation energy   -0.9049 eV per atom

abc: 4.3188 4.3188 10.1028
angles: 90.00 90.00 90.00
Fractional positions:
Pd 0.5000 0.5000 0.5000
Ac 0.5000 0.0000 0.2431
Si 0.0000 0.5000 0.3732
Ac 0.0000 0.5000 0.7569
Si 0.0000 0.0000 0.0000
Rh 0.0000 0.0000 0.5000
Rh 0.0000 0.5000 0.1226
Si 0.5000 0.0000 0.6268
Si 0.5000 0.5000 0.0000
Rh 0.5000 0.0000 0.8774

***

Record 15
This record from the Alexandria database describes AcSmPdRh after structural relaxation. The functional is PBE.

Symmetry   No. 216
Energy of formation from the pure elements   -15.5 kcal/mol of atoms

abc: 5.1577 5.1577 5.1577
angles: 60.00 60.00 60.00
Fractional positions:
Sm 0.7500 0.7500 0.7500
Rh 0.5000 0.5000 0.5000
Pd 0.0000 0.0000 0.0000
Ac 0.2500 0.2500 0.2500

***

Record 16
This record from the Alexandria database describes AcSmPdRh after structural relaxation. The functional is PBE.

Symmetry   No. 38
Energy of formation from the pure elements   -17.4 kcal/mol of atoms

abc: 4.0213 4.4520 5.9613
angles: 90.00 109.71 90.00
Fractional positions:
Pd 0.5813 0.5000 0.1626
Ac 0.1438 0.0000 0.2877
Sm 0.8674 0.5000 0.7347
Rh 0.4075 0.0000 0.8150

***

Record 17
This record from the Alexandria database describes AcSn2PdRh after structural relaxation. The functional is PBE.

Symmetry   No. 119
Energy of formation from the pure elements   -16.3 kcal/mol of atoms

abc: 4.7215 4.7215 6.3473
angles: 111.83 111.83 90.00
Fractional positions:
Rh 0.7500 0.2500 0.5000
Ac 0.0000 0.0000 0.0000
Sn 0.3636 0.3636 0.7273
Pd 0.2500 0.7500 0.5000
Sn 0.6364 0.6364 0.2727

***

Record 18
This record from the Alexandria database describes AcSnPdRh after structural relaxation. The functional is PBE.

Symmetry   No. 216
Energy of formation from the pure elements   -12.7 kcal/mol of atoms

abc: 5.0128 5.0128 5.0128
angles: 60.00 60.00 60.00
Fractional positions:
Ac 0.7500 0.7500 0.7500
Rh 0.5000 0.5000 0.5000
Pd 0.0000 0.0000 0.0000
Sn 0.2500 0.2500 0.2500

***

Record 19
This record from the Alexandria database describes AcSnPdRh after structural relaxation. The functional is PBE.

Symmetry   No. 160
Energy of formation from the pure elements   -17.5 kcal/mol of atoms

abc: 4.6016 4.6051 5.7975
angles: 113.37 90.00 119.97
Fractional positions:
Rh 0.8214 0.6428 0.1058
Ac 0.6145 0.2290 0.4861
Pd 0.4079 0.8158 0.8657
Sn 0.1225 0.2451 0.0097

***

Record 20
This record from the Alexandria database describes Ac2Sn4Pd3Rh after structural relaxation. The functional is PBE.

Symmetry   No. 115
Energy of formation from the pure elements   -18.2 kcal/mol of atoms

abc: 4.6719 4.6719 10.8906
angles: 90.00 90.00 90.00
Fractional positions:
Pd 0.0000 0.5000 0.1340
Pd 0.0000 0.0000 0.5000
Sn 0.0000 0.5000 0.3791
Ac 0.0000 0.5000 0.7428
Sn 0.0000 0.0000 0.0000
Sn 0.5000 0.5000 0.0000
Sn 0.5000 0.0000 0.6209
Rh 0.5000 0.5000 0.5000
Ac 0.5000 0.0000 0.2572
Pd 0.5000 0.0000 0.8660